# NaLiSb2Br PBE-GGA relaxed
data_NaLiSb2Br
_chemical_formula_sum 'Na1 Li1 Sb2 Br1'
_cell_length_a 5.8863
_cell_length_b 4.5984
_cell_length_c 5.8863
_cell_angle_alpha 90.00
_cell_angle_beta 90.00
_cell_angle_gamma 90.00
_symmetry_space_group_name_H-M 'P 1'
_symmetry_Int_Tables_number 1
_symmetry_space_group_name_Hall 'P 1'
loop_
_atom_site_label
_atom_site_type_symbol
_atom_site_fract_x
_atom_site_fract_y
_atom_site_fract_z
Sb1 Sb 0.5000 0.0000 0.0000
Sb2 Sb 0.0000 0.0000 0.5000
Li1 Li 0.0000 0.5000 0.0000
Na1 Na 0.5000 0.5000 0.5000
Br1 Br 0.0000 0.0000 0.0000
# Space-group type ... No. 123
# Final energy ... -2.57 eV per atom
# Uncorrected formation energy ... 0.3 eV/f.u.
# Theoretical density ... 3.68 g/cm3